Zr2ZnRh: PBEsol geometry, SCAN.

Values from the calculation:
Fermi-level density of states ... 3.15 states/eV/cell
DFT total energy ... -111.1 eV/cell

a b c (Å): 3.455 4.491 4.491
angles (deg): 90.00 90.00 90.00
Sites, in units of the cell vectors:
Zn 0.500 0.500 0.500
Rh 0.500 0.000 0.000
Zr 0.000 0.000 0.500
Zr 0.000 0.500 0.000


Zr2ZnRh: PBEsol geometry, SCAN.

Values from the calculation:
Fermi-level density of states ... 3.60 states/eV/cell
DFT total energy ... -110.7 eV/cell

a b c (Å): 3.320 4.436 5.526
angles (deg): 113.66 107.48 90.00
Sites, in units of the cell vectors:
Rh 0.503 0.503 0.006
Zn 0.223 0.723 0.446
Zr 0.002 0.002 0.005
Zr 0.772 0.272 0.543


| no. | mass density (g/cm3) |
| --- | --- |
| 1 | 8.4 |
| 2 | 8.3 |